Record 1
Pu2SnBi2: optimized geometry, PBE.

Structure (CIF):
```
data_Pu2SnBi2
_symmetry_space_group_name_H-M 'P 1'
_symmetry_Int_Tables_number 1
_symmetry_space_group_name_Hall 'P 1'
_cell_length_a 13.1372
_cell_length_b 11.2822
_cell_length_c 7.1521
_cell_angle_alpha 87.92
_cell_angle_beta 59.12
_cell_angle_gamma 32.96
loop_
_atom_site_label
_atom_site_type_symbol
_atom_site_fract_x
_atom_site_fract_y
_atom_site_fract_z
Pu1 Pu 0.0697 0.6803 0.0697
Pu2 Pu 0.3197 0.9303 0.3197
Pu3 Pu 0.6803 0.0697 0.6803
Pu4 Pu 0.9303 0.3197 0.9303
Sn1 Sn 0.3750 0.3750 0.3750
Sn2 Sn 0.6250 0.6250 0.6250
Bi1 Bi 0.0000 0.5000 0.5000
Bi2 Bi 0.5000 0.0000 0.5000
Bi3 Bi 0.5000 0.5000 0.0000
Bi4 Bi 0.5000 0.5000 0.5000
```

Computed properties:
- Offset from the most stable computed form: 4.96 kcal/mol of atoms
- Total magnetization: 1.09 Bohr magnetons per cell
- ρ: 12.84 g/cm3
- Formation energy: 31 meV/atom

Record 2
Mg2BeTe: optimized geometry, PBE.

Structure (CIF):
```
data_Mg2BeTe
_symmetry_space_group_name_H-M 'P 1'
_symmetry_Int_Tables_number 1
_symmetry_space_group_name_Hall 'P 1'
_cell_length_a 3.9981
_cell_length_b 3.7061
_cell_length_c 6.0795
_cell_angle_alpha 90.00
_cell_angle_beta 109.13
_cell_angle_gamma 90.00
loop_
_atom_site_label
_atom_site_type_symbol
_atom_site_fract_x
_atom_site_fract_y
_atom_site_fract_z
Mg1 Mg 0.0000 0.0000 0.0000
Mg2 Mg 0.3418 0.5000 0.6846
Be1 Be 0.5619 0.5000 0.1248
Te1 Te 0.7110 0.0000 0.4240
```

Computed properties:
- Offset from the most stable computed form: 0.00 kcal/mol of atoms
- Total magnetization: 0.00 Bohr magnetons per cell
- ρ: 3.61 g/cm3
- Formation energy from raw total energies: 0.01 eV/atom

Record 3
K4MnAg3Br12: optimized geometry, PBE.

Structure (CIF):
```
data_K4MnAg3Br12
_symmetry_space_group_name_H-M 'P 1'
_symmetry_Int_Tables_number 1
_symmetry_space_group_name_Hall 'P 1'
_cell_length_a 9.3548
_cell_length_b 9.3548
_cell_length_c 9.3548
_cell_angle_alpha 109.47
_cell_angle_beta 109.47
_cell_angle_gamma 109.47
loop_
_atom_site_label
_atom_site_type_symbol
_atom_site_fract_x
_atom_site_fract_y
_atom_site_fract_z
K1 K 0.0000 0.0000 0.5000
K2 K 0.0000 0.5000 0.0000
K3 K 0.5000 0.0000 0.0000
K4 K 0.5000 0.5000 0.5000
Mn1 Mn 0.0000 0.0000 0.0000
Ag1 Ag 0.0000 0.5000 0.5000
Ag2 Ag 0.5000 0.0000 0.5000
Ag3 Ag 0.5000 0.5000 0.0000
Br1 Br 0.0000 0.2304 0.2304
Br2 Br 0.0000 0.7696 0.7696
Br3 Br 0.2304 0.0000 0.2304
Br4 Br 0.2304 0.2304 0.0000
Br5 Br 0.2500 0.5000 0.7500
Br6 Br 0.2500 0.7500 0.5000
Br7 Br 0.5000 0.2500 0.7500
Br8 Br 0.5000 0.7500 0.2500
Br9 Br 0.7500 0.2500 0.5000
Br10 Br 0.7500 0.5000 0.2500
Br11 Br 0.7696 0.0000 0.7696
Br12 Br 0.7696 0.7696 0.0000
```

Computed properties:
- Total magnetization: 3.10 Bohr magnetons per cell
- ρ: 3.94 g/cm3
- Formation energy from raw total energies: -0.94 eV/atom

Record 4
Ta3CoPb: optimized geometry, PBE.

Structure (CIF):
```
data_Ta3CoPb
_symmetry_space_group_name_H-M 'P 1'
_symmetry_Int_Tables_number 1
_symmetry_space_group_name_Hall 'P 1'
_cell_length_a 4.6432
_cell_length_b 4.6432
_cell_length_c 4.6432
_cell_angle_alpha 90.00
_cell_angle_beta 90.00
_cell_angle_gamma 90.00
loop_
_atom_site_label
_atom_site_type_symbol
_atom_site_fract_x
_atom_site_fract_y
_atom_site_fract_z
Ta1 Ta 0.0000 0.0000 0.5000
Ta2 Ta 0.0000 0.5000 0.0000
Ta3 Ta 0.5000 0.0000 0.0000
Co1 Co 0.0000 0.0000 0.0000
Pb1 Pb 0.5000 0.5000 0.5000
```

Computed properties:
- Offset from the most stable computed form: 0.00 kcal/mol of atoms
- Total magnetization: 0.00 Bohr magnetons per cell
- ρ: 13.42 g/cm3
- Formation energy: 658 meV/atom

Record 5
K3V2Cl9: optimized geometry, PBE.

Structure (CIF):
```
data_K3V2Cl9
_symmetry_space_group_name_H-M 'P 1'
_symmetry_Int_Tables_number 1
_symmetry_space_group_name_Hall 'P 1'
_cell_length_a 9.2188
_cell_length_b 9.2188
_cell_length_c 9.2188
_cell_angle_alpha 81.30
_cell_angle_beta 81.30
_cell_angle_gamma 81.30
loop_
_atom_site_label
_atom_site_type_symbol
_atom_site_fract_x
_atom_site_fract_y
_atom_site_fract_z
K1 K 0.0933 0.7500 0.4067
K2 K 0.2500 0.5933 0.9067
K3 K 0.4067 0.0933 0.7500
K4 K 0.5933 0.9067 0.2500
K5 K 0.7500 0.4067 0.0933
K6 K 0.9067 0.2500 0.5933
V1 V 0.1661 0.1661 0.1661
V2 V 0.3339 0.3339 0.3339
V3 V 0.6661 0.6661 0.6661
V4 V 0.8339 0.8339 0.8339
Cl1 Cl 0.0655 0.9028 0.7362
Cl2 Cl 0.0916 0.4084 0.2500
Cl3 Cl 0.0972 0.2638 0.9345
Cl4 Cl 0.2362 0.4028 0.5655
Cl5 Cl 0.2500 0.0916 0.4084
Cl6 Cl 0.2638 0.9345 0.0972
Cl7 Cl 0.4028 0.5655 0.2362
Cl8 Cl 0.4084 0.2500 0.0916
Cl9 Cl 0.4345 0.7638 0.5972
Cl10 Cl 0.5655 0.2362 0.4028
Cl11 Cl 0.5916 0.7500 0.9084
Cl12 Cl 0.5972 0.4345 0.7638
Cl13 Cl 0.7362 0.0655 0.9028
Cl14 Cl 0.7500 0.9084 0.5916
Cl15 Cl 0.7638 0.5972 0.4345
Cl16 Cl 0.9028 0.7362 0.0655
Cl17 Cl 0.9084 0.5916 0.7500
Cl18 Cl 0.9345 0.0972 0.2638
```

Computed properties:
- Total magnetization: 8.00 Bohr magnetons per cell
- ρ: 2.36 g/cm3
- Formation energy from raw total energies: -1.56 eV/atom

Record 6
BaB3N: optimized geometry, PBE.

Structure (CIF):
```
data_BaB3N
_symmetry_space_group_name_H-M 'P 1'
_symmetry_Int_Tables_number 1
_symmetry_space_group_name_Hall 'P 1'
_cell_length_a 4.0932
_cell_length_b 4.0932
_cell_length_c 4.0932
_cell_angle_alpha 90.00
_cell_angle_beta 90.00
_cell_angle_gamma 90.00
loop_
_atom_site_label
_atom_site_type_symbol
_atom_site_fract_x
_atom_site_fract_y
_atom_site_fract_z
Ba1 Ba 0.0000 0.0000 0.0000
B1 B 0.0000 0.5000 0.5000
B2 B 0.5000 0.0000 0.5000
B3 B 0.5000 0.5000 0.0000
N1 N 0.5000 0.5000 0.5000
```

Computed properties:
- Offset from the most stable computed form: 0.00 kcal/mol of atoms
- Total magnetization: 0.00 Bohr magnetons per cell
- ρ: 4.45 g/cm3
- Formation energy from raw total energies: 2.17 eV/atom

Record 7
CaPmSn: optimized geometry, PBE.

Structure (CIF):
```
data_CaPmSn
_symmetry_space_group_name_H-M 'P 1'
_symmetry_Int_Tables_number 1
_symmetry_space_group_name_Hall 'P 1'
_cell_length_a 5.5114
_cell_length_b 5.5114
_cell_length_c 6.8140
_cell_angle_alpha 90.00
_cell_angle_beta 90.00
_cell_angle_gamma 120.00
loop_
_atom_site_label
_atom_site_type_symbol
_atom_site_fract_x
_atom_site_fract_y
_atom_site_fract_z
Ca1 Ca 0.0000 0.0000 0.0000
Ca2 Ca 0.0000 0.0000 0.5000
Pm1 Pm 0.3333 0.6667 0.2500
Pm2 Pm 0.6667 0.3333 0.7500
Sn1 Sn 0.3333 0.6667 0.7500
Sn2 Sn 0.6667 0.3333 0.2500
```

Computed properties:
- Offset from the most stable computed form: 0.00 kcal/mol of atoms
- Total magnetization: 0.00 Bohr magnetons per cell
- ρ: 5.63 g/cm3
- Formation energy: -576 meV/atom

Record 8
Ce3Si: optimized geometry, PBE.

Structure (CIF):
```
data_Ce3Si
_symmetry_space_group_name_H-M 'P 1'
_symmetry_Int_Tables_number 1
_symmetry_space_group_name_Hall 'P 1'
_cell_length_a 5.6072
_cell_length_b 5.6072
_cell_length_c 5.6072
_cell_angle_alpha 132.66
_cell_angle_beta 132.66
_cell_angle_gamma 69.18
loop_
_atom_site_label
_atom_site_type_symbol
_atom_site_fract_x
_atom_site_fract_y
_atom_site_fract_z
Ce1 Ce 0.0000 0.0000 0.0000
Ce2 Ce 0.2500 0.7500 0.5000
Ce3 Ce 0.7500 0.2500 0.5000
Si1 Si 0.5000 0.5000 0.0000
```

Computed properties:
- Offset from the most stable computed form: 0.64 kcal/mol of atoms
- Total magnetization: 1.43 Bohr magnetons per cell
- ρ: 7.96 g/cm3
- Formation energy from raw total energies: -0.32 eV/atom

Record 9
K2VTeS: optimized geometry, PBE.

Structure (CIF):
```
data_K2VTeS
_symmetry_space_group_name_H-M 'P 1'
_symmetry_Int_Tables_number 1
_symmetry_space_group_name_Hall 'P 1'
_cell_length_a 6.6231
_cell_length_b 6.6231
_cell_length_c 4.3822
_cell_angle_alpha 90.00
_cell_angle_beta 90.00
_cell_angle_gamma 90.00
loop_
_atom_site_label
_atom_site_type_symbol
_atom_site_fract_x
_atom_site_fract_y
_atom_site_fract_z
K1 K 0.0000 0.5000 0.0000
K2 K 0.5000 0.0000 0.0000
V1 V 0.0000 0.0000 0.0000
Te1 Te 0.5000 0.5000 0.5000
S1 S 0.0000 0.0000 0.5000
```

Computed properties:
- Total magnetization: 3.52 Bohr magnetons per cell
- ρ: 2.49 g/cm3
- Formation energy from raw total energies: -0.23 eV/atom

Record 10
YB4Ru4: optimized geometry, PBE.

Structure (CIF):
```
data_YB4Ru4
_symmetry_space_group_name_H-M 'P 1'
_symmetry_Int_Tables_number 1
_symmetry_space_group_name_Hall 'P 1'
_cell_length_a 5.3723
_cell_length_b 5.3723
_cell_length_c 7.3632
_cell_angle_alpha 90.00
_cell_angle_beta 90.00
_cell_angle_gamma 90.00
loop_
_atom_site_label
_atom_site_type_symbol
_atom_site_fract_x
_atom_site_fract_y
_atom_site_fract_z
Y1 Y 0.2500 0.7500 0.2500
Y2 Y 0.7500 0.2500 0.7500
B1 B 0.0779 0.2500 0.0992
B2 B 0.2500 0.0779 0.5992
B3 B 0.2500 0.4221 0.5992
B4 B 0.4221 0.2500 0.0992
B5 B 0.5779 0.7500 0.9008
B6 B 0.7500 0.5779 0.4008
B7 B 0.7500 0.9221 0.4008
B8 B 0.9221 0.7500 0.9008
Ru1 Ru 0.0049 0.7500 0.6111
Ru2 Ru 0.2500 0.5049 0.8889
Ru3 Ru 0.2500 0.9951 0.8889
Ru4 Ru 0.4951 0.7500 0.6111
Ru5 Ru 0.5049 0.2500 0.3889
Ru6 Ru 0.7500 0.0049 0.1111
Ru7 Ru 0.7500 0.4951 0.1111
Ru8 Ru 0.9951 0.2500 0.3889
```

Computed properties:
- Offset from the most stable computed form: 1.05 kcal/mol of atoms
- Total magnetization: 0.00 Bohr magnetons per cell
- ρ: 8.38 g/cm3
- Formation energy: -446 meV/atom

no.,E_tot (eV/atom)
1,-8.055
2,-2.502
3,-3.049
4,-8.616
5,-4.287
6,-3.888
7,-4.161
8,-6.125
9,-3.942
10,-8.255